! TlMoOs4 (GGA-PBE, optimized geometry); values from VASP
! DFT formation energy, meV/atom: 815
! Symmetry: No. 216
&SYSTEM
  ibrav = 0, nat = 6, ntyp = 3
/
ATOMIC_SPECIES
Os 190.23 Os.upf
Tl 204.38 Tl.upf
Mo 95.94 Mo.upf
CELL_PARAMETERS angstrom
-1.762 -4.880 0.398
-3.481 -1.218 3.671
-4.906 -1.112 -1.333
ATOMIC_POSITIONS angstrom
Os -3.889 -3.951 2.378
Os -4.602 -3.898 -0.127
Os -6.345 -4.508 1.711
Os -5.463 -2.065 1.512
Tl -2.537 -1.803 0.684
Mo 0.000 0.000 0.000

! TlMoOs (GGA-PBE, optimized geometry); values from VASP
! DFT formation energy, meV/atom: 853
! Relative energy among the computed polymorphs, eV per atom: 0.3720
! Symmetry: No. 187
&SYSTEM
  ibrav = 0, nat = 3, ntyp = 3
/
ATOMIC_SPECIES
Mo 95.94 Mo.upf
Os 190.23 Os.upf
Tl 204.38 Tl.upf
CELL_PARAMETERS angstrom
4.579 0.000 0.000
-2.290 3.966 0.000
0.000 0.000 2.868
ATOMIC_POSITIONS angstrom
Mo 0.000 0.000 2.868
Os 0.000 2.644 1.436
Tl 2.290 1.322 1.432

! TlMoOs2 (GGA-PBE, optimized geometry); values from VASP
! DFT formation energy, meV/atom: 650
! Relative energy among the computed polymorphs, eV per atom: 0.0989
! Symmetry: No. 12
&SYSTEM
  ibrav = 0, nat = 4, ntyp = 3
/
ATOMIC_SPECIES
Os 190.23 Os.upf
Mo 95.94 Mo.upf
Tl 204.38 Tl.upf
CELL_PARAMETERS angstrom
-2.519 -4.159 -0.616
-1.880 -3.955 2.200
-4.679 1.649 0.942
ATOMIC_POSITIONS angstrom
Os -4.552 1.457 0.928
Os -4.666 -3.040 1.278
Mo -6.808 -4.848 1.895
Tl -2.269 -1.616 0.632

! Tl2MoOs2 (GGA-PBE, optimized geometry); values from VASP
! DFT formation energy, meV/atom: 1285
! Relative energy among the computed polymorphs, eV per atom: 0.0000
! Symmetry: No. 139
&SYSTEM
  ibrav = 0, nat = 5, ntyp = 3
/
ATOMIC_SPECIES
Mo 95.94 Mo.upf
Os 190.23 Os.upf
Tl 204.38 Tl.upf
CELL_PARAMETERS angstrom
-3.281 -0.310 -1.259
-0.149 -3.312 1.204
-4.808 1.006 7.342
ATOMIC_POSITIONS angstrom
Mo 0.000 0.000 0.000
Os -4.902 -0.558 3.028
Os -3.336 -2.059 4.260
Tl -2.362 -1.221 1.516
Tl -5.875 -1.395 5.772

! Tl3MoOs (GGA-PBE, optimized geometry); values from VASP
! DFT formation energy, meV/atom: 1312
! Relative energy among the computed polymorphs, eV per atom: 0.0000
! Symmetry: No. 221
&SYSTEM
  ibrav = 0, nat = 5, ntyp = 3
/
ATOMIC_SPECIES
Tl 204.38 Tl.upf
Os 190.23 Os.upf
Mo 95.94 Mo.upf
CELL_PARAMETERS angstrom
5.293 0.000 0.000
0.000 5.293 0.000
0.000 0.000 5.293
ATOMIC_POSITIONS angstrom
Tl 2.647 0.000 0.000
Tl 0.000 0.000 2.647
Tl 0.000 2.647 0.000
Os 0.000 0.000 0.000
Mo 2.647 2.647 2.647

! TlMoOs2 (GGA-PBE, optimized geometry); values from VASP
! DFT formation energy, meV/atom: 880
! Relative energy among the computed polymorphs, eV per atom: 0.3287
! Symmetry: No. 35
&SYSTEM
  ibrav = 0, nat = 4, ntyp = 3
/
ATOMIC_SPECIES
Os 190.23 Os.upf
Mo 95.94 Mo.upf
Tl 204.38 Tl.upf
CELL_PARAMETERS angstrom
2.849 -0.003 0.000
-1.371 2.498 0.000
0.000 0.000 9.560
ATOMIC_POSITIONS angstrom
Os 0.739 1.247 2.223
Os 0.000 0.000 0.007
Mo 0.739 1.247 7.355
Tl 0.000 0.000 4.755

! TlMoOs3 (GGA-PBE, optimized geometry); values from VASP
! DFT formation energy, meV/atom: 3479
! Relative energy among the computed polymorphs, eV per atom: 1.3440
! Symmetry: No. 221
&SYSTEM
  ibrav = 0, nat = 5, ntyp = 3
/
ATOMIC_SPECIES
Os 190.23 Os.upf
Mo 95.94 Mo.upf
Tl 204.38 Tl.upf
CELL_PARAMETERS angstrom
4.794 0.000 0.000
0.000 4.794 0.000
0.000 0.000 4.794
ATOMIC_POSITIONS angstrom
Os 0.000 0.000 2.397
Os 0.000 2.397 0.000
Os 2.397 0.000 0.000
Mo 2.397 2.397 2.397
Tl 0.000 0.000 0.000

! TlMoOs2 (GGA-PBE, optimized geometry); values from VASP
! DFT formation energy, meV/atom: 847
! Relative energy among the computed polymorphs, eV per atom: 0.2963
! Symmetry: No. 65
&SYSTEM
  ibrav = 0, nat = 4, ntyp = 3
/
ATOMIC_SPECIES
Tl 204.38 Tl.upf
Mo 95.94 Mo.upf
Os 190.23 Os.upf
CELL_PARAMETERS angstrom
-2.975 -1.953 3.298
4.022 1.352 2.353
-1.176 2.632 0.498
ATOMIC_POSITIONS angstrom
Tl -2.075 0.339 1.898
Mo 1.423 1.992 1.426
Os 0.524 -0.301 2.826
Os 0.000 0.000 0.000